# 1
# PBE-GGA LaCeHo2N4, optimized geometry
data_LaCeHo2N4
_chemical_formula_sum 'La1 Ce1 Ho2 N4'
_cell_length_a 6.1508
_cell_length_b 3.5499
_cell_length_c 6.1556
_cell_angle_alpha 90.00
_cell_angle_beta 109.25
_cell_angle_gamma 90.00
_space_group_name_H-M_alt 'P 1 2/m 1'
_space_group_IT_number 10
_space_group_name_Hall '-P 2y'
loop_
_atom_site_label
_atom_site_type_symbol
_atom_site_fract_x
_atom_site_fract_y
_atom_site_fract_z
La1 La 0.0000 0.0000 0.0000
Ce1 Ce 0.5000 0.5000 0.0000
Ho1 Ho 0.0000 0.5000 0.5000
Ho2 Ho 0.5000 0.0000 0.5000
N1 N 0.2551 0.0000 0.7419
N2 N 0.2645 0.5000 0.2609
# ΔE_f (raw) = -12.3 eV/f.u.

***

# 2
# PBE-GGA LaCe2HoN4, optimized geometry
data_LaCe2HoN4
_chemical_formula_sum 'La1 Ce2 Ho1 N4'
_cell_length_a 6.1901
_cell_length_b 3.5787
_cell_length_c 6.2297
_cell_angle_alpha 90.00
_cell_angle_beta 109.43
_cell_angle_gamma 90.00
_space_group_name_H-M_alt 'P 1 2/m 1'
_space_group_IT_number 10
_space_group_name_Hall '-P 2y'
loop_
_atom_site_label
_atom_site_type_symbol
_atom_site_fract_x
_atom_site_fract_y
_atom_site_fract_z
La1 La 0.0000 0.0000 0.0000
Ce1 Ce 0.5000 0.0000 0.5000
Ce2 Ce 0.5000 0.5000 0.0000
Ho1 Ho 0.0000 0.5000 0.5000
N1 N 0.2540 0.0000 0.7408
N2 N 0.2639 0.5000 0.2670
# ΔE_f (raw) = -12.0 eV/f.u.

***

# 3
# PBE-GGA LaCeNd2Ho5, optimized geometry
data_LaCeNd2Ho5
_chemical_formula_sum 'La4 Ce4 Nd8 Ho20'
_cell_length_a 8.6892
_cell_length_b 8.6892
_cell_length_c 15.6543
_cell_angle_alpha 90.00
_cell_angle_beta 90.00
_cell_angle_gamma 90.00
_space_group_name_H-M_alt 'I 4/m c m'
_space_group_IT_number 140
_space_group_name_Hall '-I 4 2c'
loop_
_atom_site_label
_atom_site_type_symbol
_atom_site_fract_x
_atom_site_fract_y
_atom_site_fract_z
La1 La 0.0000 0.0000 0.2500
Ce1 Ce 0.0000 0.5000 0.2500
Nd1 Nd 0.1199 0.3801 0.0000
Ho1 Ho 0.0000 0.0000 0.0000
Ho2 Ho 0.2039 0.2961 0.3621
# DFT formation energy = 6.04 kcal/mol of atoms

***

# 4
# PBE-GGA La5CeNd2Ho, optimized geometry
data_La5CeNd2Ho
_chemical_formula_sum 'La20 Ce4 Nd8 Ho4'
_cell_length_a 8.7565
_cell_length_b 8.7565
_cell_length_c 16.4620
_cell_angle_alpha 90.00
_cell_angle_beta 90.00
_cell_angle_gamma 90.00
_space_group_name_H-M_alt 'I 4/m c m'
_space_group_IT_number 140
_space_group_name_Hall '-I 4 2c'
loop_
_atom_site_label
_atom_site_type_symbol
_atom_site_fract_x
_atom_site_fract_y
_atom_site_fract_z
La1 La 0.0000 0.0000 0.0000
La2 La 0.1853 0.3147 0.1483
Ce1 Ce 0.0000 0.5000 0.2500
Nd1 Nd 0.1280 0.3720 0.5000
Ho1 Ho 0.0000 0.0000 0.2500
# DFT formation energy = 4.88 kcal/mol of atoms

***

# 5
# PBE-GGA LaCeNd2Ho, optimized geometry
data_LaCeNd2Ho
_chemical_formula_sum 'La2 Ce2 Nd4 Ho2'
_cell_length_a 8.6293
_cell_length_b 6.3133
_cell_length_c 6.2668
_cell_angle_alpha 90.00
_cell_angle_beta 92.31
_cell_angle_gamma 90.00
_space_group_name_H-M_alt 'P 1 2/c 1'
_space_group_IT_number 13
_space_group_name_Hall '-P 2yc'
loop_
_atom_site_label
_atom_site_type_symbol
_atom_site_fract_x
_atom_site_fract_y
_atom_site_fract_z
La1 La 0.0000 0.0000 0.0000
Ce1 Ce 0.0000 0.4609 0.2500
Nd1 Nd 0.3093 0.3079 0.7384
Ho1 Ho 0.5000 0.1756 0.2500
# DFT formation energy = 5.99 kcal/mol of atoms

***

# 6
# PBE-GGA LaCeNd6Ho2, optimized geometry
data_LaCeNd6Ho2
_chemical_formula_sum 'La2 Ce2 Nd12 Ho4'
_cell_length_a 11.3664
_cell_length_b 6.9583
_cell_length_c 9.0118
_cell_angle_alpha 90.00
_cell_angle_beta 102.70
_cell_angle_gamma 90.00
_space_group_name_H-M_alt 'C 1 2/m 1'
_space_group_IT_number 12
_space_group_name_Hall '-C 2y'
loop_
_atom_site_label
_atom_site_type_symbol
_atom_site_fract_x
_atom_site_fract_y
_atom_site_fract_z
La1 La 0.0000 0.0000 0.0000
Ce1 Ce 0.0000 0.5000 0.5000
Nd1 Nd 0.1320 0.5000 0.9181
Nd2 Nd 0.1682 0.2363 0.3021
Ho1 Ho 0.0934 0.0000 0.6566
# DFT formation energy = 5.24 kcal/mol of atoms

***

# 7
# PBE-GGA LaCeNdHo, optimized geometry
data_LaCeNdHo
_chemical_formula_sum 'La4 Ce4 Nd4 Ho4'
_cell_length_a 8.1728
_cell_length_b 8.1728
_cell_length_c 8.1728
_cell_angle_alpha 90.00
_cell_angle_beta 90.00
_cell_angle_gamma 90.00
_space_group_name_H-M_alt 'F -4 3 m'
_space_group_IT_number 216
_space_group_name_Hall 'F -4 2 3'
loop_
_atom_site_label
_atom_site_type_symbol
_atom_site_fract_x
_atom_site_fract_y
_atom_site_fract_z
La1 La 0.0000 0.0000 0.0000
Ce1 Ce 0.2500 0.2500 0.2500
Nd1 Nd 0.0000 0.0000 0.5000
Ho1 Ho 0.2500 0.2500 0.7500
# DFT formation energy = 4.56 kcal/mol of atoms

***

# 8
# PBE-GGA LaCe2HoP4, optimized geometry
data_LaCe2HoP4
_chemical_formula_sum 'La1 Ce2 Ho1 P4'
_cell_length_a 7.1129
_cell_length_b 4.1116
_cell_length_c 7.1245
_cell_angle_alpha 90.00
_cell_angle_beta 109.44
_cell_angle_gamma 90.00
_space_group_name_H-M_alt 'P 1 2/m 1'
_space_group_IT_number 10
_space_group_name_Hall '-P 2y'
loop_
_atom_site_label
_atom_site_type_symbol
_atom_site_fract_x
_atom_site_fract_y
_atom_site_fract_z
La1 La 0.0000 0.0000 0.0000
Ce1 Ce 0.5000 0.0000 0.5000
Ce2 Ce 0.5000 0.5000 0.0000
Ho1 Ho 0.0000 0.5000 0.5000
P1 P 0.2510 0.0000 0.7427
P2 P 0.2571 0.5000 0.2605
# DFT formation energy = -35.35 kcal/mol of atoms

***

# 9
# PBE-GGA LaCe3Ho2P6, optimized geometry
data_LaCe3Ho2P6
_chemical_formula_sum 'La2 Ce6 Ho4 P12'
_cell_length_a 7.0826
_cell_length_b 12.2689
_cell_length_c 7.0693
_cell_angle_alpha 90.00
_cell_angle_beta 109.54
_cell_angle_gamma 90.00
_space_group_name_H-M_alt 'C 1 2/m 1'
_space_group_IT_number 12
_space_group_name_Hall '-C 2y'
loop_
_atom_site_label
_atom_site_type_symbol
_atom_site_fract_x
_atom_site_fract_y
_atom_site_fract_z
La1 La 0.0000 0.0000 0.0000
Ce1 Ce 0.0000 0.1650 0.5000
Ce2 Ce 0.0000 0.5000 0.5000
Ho1 Ho 0.0000 0.3328 0.0000
P1 P 0.2409 0.5000 0.2500
P2 P 0.2448 0.3289 0.7482
# DFT formation energy = -35.49 kcal/mol of atoms

***

# 10
# PBE-GGA LaCeHoPa, optimized geometry
data_LaCeHoPa
_chemical_formula_sum 'La4 Ce4 Ho4 Pa4'
_cell_length_a 7.8654
_cell_length_b 7.8654
_cell_length_c 7.8654
_cell_angle_alpha 90.00
_cell_angle_beta 90.00
_cell_angle_gamma 90.00
_space_group_name_H-M_alt 'F -4 3 m'
_space_group_IT_number 216
_space_group_name_Hall 'F -4 2 3'
loop_
_atom_site_label
_atom_site_type_symbol
_atom_site_fract_x
_atom_site_fract_y
_atom_site_fract_z
La1 La 0.0000 0.0000 0.0000
Ce1 Ce 0.0000 0.0000 0.5000
Ho1 Ho 0.2500 0.2500 0.2500
Pa1 Pa 0.2500 0.2500 0.7500
# DFT formation energy = 9.19 kcal/mol of atoms

***

# 11
# PBE-GGA La5CePmHo2, optimized geometry
data_La5CePmHo2
_chemical_formula_sum 'La10 Ce2 Pm2 Ho4'
_cell_length_a 8.2974
_cell_length_b 8.2974
_cell_length_c 9.3117
_cell_angle_alpha 90.00
_cell_angle_beta 90.00
_cell_angle_gamma 90.00
_space_group_name_H-M_alt 'P 4/m b m'
_space_group_IT_number 127
_space_group_name_Hall '-P 4 2ab'
loop_
_atom_site_label
_atom_site_type_symbol
_atom_site_fract_x
_atom_site_fract_y
_atom_site_fract_z
La1 La 0.0000 0.0000 0.0000
La2 La 0.1900 0.3100 0.2727
Ce1 Ce 0.0000 0.5000 0.5000
Pm1 Pm 0.0000 0.0000 0.5000
Ho1 Ho 0.1287 0.6287 0.0000
# DFT formation energy = 6.45 kcal/mol of atoms

***

# 12
# PBE-GGA La6CePmHo2, optimized geometry
data_La6CePmHo2
_chemical_formula_sum 'La12 Ce2 Pm2 Ho4'
_cell_length_a 12.2624
_cell_length_b 6.8541
_cell_length_c 9.0267
_cell_angle_alpha 90.00
_cell_angle_beta 110.13
_cell_angle_gamma 90.00
_space_group_name_H-M_alt 'C 1 2/m 1'
_space_group_IT_number 12
_space_group_name_Hall '-C 2y'
loop_
_atom_site_label
_atom_site_type_symbol
_atom_site_fract_x
_atom_site_fract_y
_atom_site_fract_z
La1 La 0.1472 0.2402 0.3098
La2 La 0.1638 0.0000 0.9164
Ce1 Ce 0.0000 0.0000 0.5000
Pm1 Pm 0.0000 0.5000 0.0000
Ho1 Ho 0.1017 0.5000 0.6782
# DFT formation energy = 5.10 kcal/mol of atoms

***

# 13
# PBE-GGA La5CePr2Ho, optimized geometry
data_La5CePr2Ho
_chemical_formula_sum 'La20 Ce4 Pr8 Ho4'
_cell_length_a 8.7600
_cell_length_b 8.7600
_cell_length_c 16.5242
_cell_angle_alpha 90.00
_cell_angle_beta 90.00
_cell_angle_gamma 90.00
_space_group_name_H-M_alt 'I 4/m c m'
_space_group_IT_number 140
_space_group_name_Hall '-I 4 2c'
loop_
_atom_site_label
_atom_site_type_symbol
_atom_site_fract_x
_atom_site_fract_y
_atom_site_fract_z
La1 La 0.0000 0.0000 0.0000
La2 La 0.1855 0.3145 0.1492
Ce1 Ce 0.0000 0.5000 0.2500
Pr1 Pr 0.1288 0.3712 0.5000
Ho1 Ho 0.0000 0.0000 0.2500
# DFT formation energy = 4.80 kcal/mol of atoms

***

# 14
# PBE-GGA La2CePr6Ho, optimized geometry
data_La2CePr6Ho
_chemical_formula_sum 'La4 Ce2 Pr12 Ho2'
_cell_length_a 11.4770
_cell_length_b 7.0594
_cell_length_c 9.5944
_cell_angle_alpha 90.00
_cell_angle_beta 112.85
_cell_angle_gamma 90.00
_space_group_name_H-M_alt 'C 1 2/m 1'
_space_group_IT_number 12
_space_group_name_Hall '-C 2y'
loop_
_atom_site_label
_atom_site_type_symbol
_atom_site_fract_x
_atom_site_fract_y
_atom_site_fract_z
La1 La 0.1356 0.0000 0.2101
Ce1 Ce 0.0000 0.5000 0.0000
Pr1 Pr 0.1349 0.5000 0.4113
Pr2 Pr 0.1496 0.2395 0.8142
Ho1 Ho 0.0000 0.0000 0.5000
# DFT formation energy = 5.27 kcal/mol of atoms

***

# 15
# PBE-GGA La6CePrHo2, optimized geometry
data_La6CePrHo2
_chemical_formula_sum 'La12 Ce2 Pr2 Ho4'
_cell_length_a 11.5850
_cell_length_b 6.9348
_cell_length_c 9.8502
_cell_angle_alpha 90.00
_cell_angle_beta 116.84
_cell_angle_gamma 90.00
_space_group_name_H-M_alt 'C 1 2/m 1'
_space_group_IT_number 12
_space_group_name_Hall '-C 2y'
loop_
_atom_site_label
_atom_site_type_symbol
_atom_site_fract_x
_atom_site_fract_y
_atom_site_fract_z
La1 La 0.1499 0.0000 0.4173
La2 La 0.1873 0.2276 0.8245
Ce1 Ce 0.0000 0.0000 0.0000
Pr1 Pr 0.0000 0.5000 0.5000
Ho1 Ho 0.0616 0.5000 0.1894
# DFT formation energy = 4.60 kcal/mol of atoms

***

# 16
# PBE-GGA LaCeHoPu, optimized geometry
data_LaCeHoPu
_chemical_formula_sum 'La4 Ce4 Ho4 Pu4'
_cell_length_a 7.9514
_cell_length_b 7.9514
_cell_length_c 7.9514
_cell_angle_alpha 90.00
_cell_angle_beta 90.00
_cell_angle_gamma 90.00
_space_group_name_H-M_alt 'F -4 3 m'
_space_group_IT_number 216
_space_group_name_Hall 'F -4 2 3'
loop_
_atom_site_label
_atom_site_type_symbol
_atom_site_fract_x
_atom_site_fract_y
_atom_site_fract_z
La1 La 0.0000 0.0000 0.0000
Ce1 Ce 0.2500 0.2500 0.7500
Ho1 Ho 0.0000 0.0000 0.5000
Pu1 Pu 0.2500 0.2500 0.2500
# DFT formation energy = 6.31 kcal/mol of atoms

***

# 17
# PBE-GGA La3CeHo2S6, optimized geometry
data_La3CeHo2S6
_chemical_formula_sum 'La6 Ce2 Ho4 S12'
_cell_length_a 6.9702
_cell_length_b 12.0933
_cell_length_c 7.0514
_cell_angle_alpha 90.00
_cell_angle_beta 109.38
_cell_angle_gamma 90.00
_space_group_name_H-M_alt 'C 1 2/m 1'
_space_group_IT_number 12
_space_group_name_Hall '-C 2y'
loop_
_atom_site_label
_atom_site_type_symbol
_atom_site_fract_x
_atom_site_fract_y
_atom_site_fract_z
La1 La 0.0000 0.0000 0.0000
La2 La 0.0000 0.3353 0.0000
Ce1 Ce 0.0000 0.5000 0.5000
Ho1 Ho 0.0000 0.1669 0.5000
S1 S 0.2363 0.0000 0.7306
S2 S 0.2477 0.3298 0.7326
# ΔE_f (raw) = -25.0 eV/f.u.

***

# 18
# PBE-GGA LaCe2Ho3S6, optimized geometry
data_LaCe2Ho3S6
_chemical_formula_sum 'La2 Ce4 Ho6 S12'
_cell_length_a 6.8402
_cell_length_b 11.8569
_cell_length_c 6.9709
_cell_angle_alpha 90.00
_cell_angle_beta 109.19
_cell_angle_gamma 90.00
_space_group_name_H-M_alt 'C 1 2/m 1'
_space_group_IT_number 12
_space_group_name_Hall '-C 2y'
loop_
_atom_site_label
_atom_site_type_symbol
_atom_site_fract_x
_atom_site_fract_y
_atom_site_fract_z
La1 La 0.0000 0.0000 0.0000
Ce1 Ce 0.0000 0.3333 0.0000
Ho1 Ho 0.0000 0.1641 0.5000
Ho2 Ho 0.0000 0.5000 0.5000
S1 S 0.2419 0.3311 0.7325
S2 S 0.2497 0.0000 0.7350
# ΔE_f (raw) = -24.5 eV/f.u.

***

# 19
# PBE-GGA La2CeHoS5, optimized geometry
data_La2CeHoS5
_chemical_formula_sum 'La8 Ce4 Ho4 S20'
_cell_length_a 4.0207
_cell_length_b 16.9668
_cell_length_c 13.3908
_cell_angle_alpha 90.00
_cell_angle_beta 90.00
_cell_angle_gamma 90.00
_space_group_name_H-M_alt 'C m c 21'
_space_group_IT_number 36
_space_group_name_Hall 'C 2c -2'
loop_
_atom_site_label
_atom_site_type_symbol
_atom_site_fract_x
_atom_site_fract_y
_atom_site_fract_z
La1 La 0.0000 0.0809 0.0000
La2 La 0.0000 0.1379 0.6624
Ce1 Ce 0.0000 0.4462 0.8042
Ho1 Ho 0.0000 0.2349 0.3959
S1 S 0.0000 0.0812 0.4407
S2 S 0.0000 0.2535 0.0399
S3 S 0.0000 0.2891 0.7603
S4 S 0.0000 0.3874 0.3415
S5 S 0.0000 0.4938 0.1177
# ΔE_f (raw) = -17.7 eV/f.u.

***

# 20
# PBE-GGA La3Ce4HoS8, optimized geometry
data_La3Ce4HoS8
_chemical_formula_sum 'La9 Ce12 Ho3 S24'
_cell_length_a 8.1186
_cell_length_b 8.1186
_cell_length_c 19.9016
_cell_angle_alpha 90.00
_cell_angle_beta 90.00
_cell_angle_gamma 120.00
_space_group_name_H-M_alt 'R -3 m'
_space_group_IT_number 166
_space_group_name_Hall '-R 3 2"'
loop_
_atom_site_label
_atom_site_type_symbol
_atom_site_fract_x
_atom_site_fract_y
_atom_site_fract_z
La1 La 0.0000 0.5000 0.0000
Ce1 Ce 0.0000 0.0000 0.5000
Ce2 Ce 0.0000 0.5000 0.5000
Ho1 Ho 0.0000 0.0000 0.0000
S1 S 0.0000 0.0000 0.2471
S2 S 0.0110 0.5055 0.7501
# ΔE_f (raw) = -33.1 eV/f.u.

***

| no. | N(E_F) (states/eV per atom) | calculated volume (Å³/cell) |
| --- | --- | --- |
| 1 | 0.4781 | 126.9 |
| 2 | 0.5461 | 130.1 |
| 3 | 1.6312 | 1181.9 |
| 4 | 1.7289 | 1262.2 |
| 5 | 2.0161 | 341.1 |
| 6 | 2.3276 | 695.3 |
| 7 | 2.6159 | 545.9 |
| 8 | 1.1904 | 196.5 |
| 9 | 1.2058 | 578.9 |
| 10 | 3.5840 | 486.6 |
| 11 | 1.8887 | 641.1 |
| 12 | 2.3205 | 712.4 |
| 13 | 1.6977 | 1268.0 |
| 14 | 2.0072 | 716.4 |
| 15 | 2.2213 | 706.1 |
| 16 | 3.8707 | 502.7 |
| 17 | 0.7672 | 560.7 |
| 18 | 1.0458 | 533.9 |
| 19 | 0.9899 | 913.5 |
| 20 | 1.4412 | 1136.0 |